NaCoSi2O6 | PBE+U | optimized geometry

a b c (Å): 6.479 6.479 5.267
angles (deg): 102.46 102.46 84.58
Sites, in units of the cell vectors:
Na 0.201 0.799 0.750
Na 0.799 0.201 0.250
Co 0.403 0.597 0.250
Co 0.597 0.403 0.750
Si 0.118 0.300 0.767
Si 0.300 0.118 0.267
Si 0.700 0.882 0.733
Si 0.882 0.700 0.233
O 0.120 0.600 0.305
O 0.135 0.156 0.992
O 0.156 0.135 0.492
O 0.305 0.469 0.859
O 0.400 0.880 0.195
O 0.469 0.305 0.359
O 0.531 0.695 0.641
O 0.600 0.120 0.805
O 0.695 0.531 0.141
O 0.844 0.865 0.508
O 0.865 0.844 0.008
O 0.880 0.400 0.695

Computed properties:
Volume, Å³ per atom: 10.527

---

NaTbCoO3 | PBE+U | optimized geometry

a b c (Å): 5.477 5.477 9.286
angles (deg): 90.00 90.00 143.14
Sites, in units of the cell vectors:
Na 0.230 0.770 0.750
Na 0.770 0.230 0.250
Tb 0.500 0.500 0.000
Tb 0.500 0.500 0.500
Co 0.043 0.957 0.250
Co 0.957 0.043 0.750
O 0.128 0.872 0.070
O 0.128 0.872 0.430
O 0.439 0.561 0.250
O 0.561 0.439 0.750
O 0.872 0.128 0.570
O 0.872 0.128 0.930

Computed properties:
Volume, Å³ per atom: 13.923

---

Na4CoTeO6 | PBE+U | optimized geometry

a b c (Å): 5.424 5.424 5.580
angles (deg): 99.63 99.63 119.70
Sites, in units of the cell vectors:
Na 0.000 0.000 0.000
Na 0.160 0.840 0.500
Na 0.489 0.511 0.500
Na 0.845 0.155 0.500
Co 0.330 0.670 0.000
Te 0.666 0.334 0.000
O 0.046 0.425 0.214
O 0.307 0.285 0.787
O 0.452 0.097 0.210
O 0.575 0.954 0.786
O 0.715 0.693 0.213
O 0.903 0.548 0.790

Computed properties:
Volume, Å³ per atom: 11.206

---

Na4CoTeO6 | PBE+U | optimized geometry

a b c (Å): 5.641 9.504 5.469
angles (deg): 90.00 109.52 90.00
Sites, in units of the cell vectors:
Na 0.000 0.071 0.250
Na 0.000 0.241 0.750
Na 0.000 0.419 0.250
Na 0.000 0.581 0.750
Na 0.000 0.759 0.250
Na 0.000 0.929 0.750
Na 0.500 0.419 0.750
Na 0.500 0.581 0.250
Co 0.500 0.085 0.750
Co 0.500 0.915 0.250
Te 0.500 0.245 0.250
Te 0.500 0.755 0.750
O 0.277 0.385 0.037
O 0.277 0.615 0.537
O 0.295 0.089 0.030
O 0.295 0.911 0.530
O 0.296 0.233 0.480
O 0.296 0.767 0.980
O 0.704 0.233 0.020
O 0.704 0.767 0.520
O 0.705 0.089 0.470
O 0.705 0.911 0.970
O 0.723 0.385 0.463
O 0.723 0.615 0.963

Computed properties:
Volume, Å³ per atom: 11.515

---

NaCoTeO | PBE+U | optimized geometry

a b c (Å): 3.962 3.962 10.682
angles (deg): 90.00 90.00 90.00
Sites, in units of the cell vectors:
Na 0.250 0.750 0.000
Na 0.750 0.250 0.000
Co 0.250 0.250 0.461
Co 0.750 0.750 0.539
Te 0.250 0.250 0.211
Te 0.750 0.750 0.789
O 0.250 0.750 0.500
O 0.750 0.250 0.500

Computed properties:
Volume, Å³ per atom: 20.959

---

NaCoTeO | PBE+U | optimized geometry

a b c (Å): 3.596 7.651 6.179
angles (deg): 90.00 90.00 90.00
Sites, in units of the cell vectors:
Na 0.000 0.226 0.000
Na 0.000 0.774 0.500
Co 0.500 0.418 0.371
Co 0.500 0.582 0.871
Te 0.000 0.193 0.506
Te 0.000 0.807 0.006
O 0.500 0.406 0.071
O 0.500 0.594 0.571

Computed properties:
Volume, Å³ per atom: 21.251

---

NaTmCoO3 | PBE+U | optimized geometry

a b c (Å): 5.567 5.567 8.994
angles (deg): 90.00 90.00 144.29
Sites, in units of the cell vectors:
Na 0.215 0.785 0.750
Na 0.785 0.215 0.250
Tm 0.500 0.500 0.000
Tm 0.500 0.500 0.500
Co 0.058 0.942 0.250
Co 0.942 0.058 0.750
O 0.126 0.874 0.057
O 0.126 0.874 0.443
O 0.449 0.551 0.250
O 0.551 0.449 0.750
O 0.874 0.126 0.557
O 0.874 0.126 0.943

Computed properties:
Volume, Å³ per atom: 13.557

---

NaYCoO3 | PBE+U | optimized geometry

a b c (Å): 5.481 5.481 9.262
angles (deg): 90.00 90.00 143.33
Sites, in units of the cell vectors:
Na 0.229 0.771 0.750
Na 0.771 0.229 0.250
Y 0.500 0.500 0.000
Y 0.500 0.500 0.500
Co 0.044 0.956 0.250
Co 0.956 0.044 0.750
O 0.128 0.872 0.069
O 0.128 0.872 0.431
O 0.439 0.561 0.250
O 0.561 0.439 0.750
O 0.872 0.128 0.569
O 0.872 0.128 0.931

Computed properties:
Volume, Å³ per atom: 13.845

---

Energy per entry: -68.75, -37.91, -60.72, -60.85, -16.24, -17.24, -37.05, -39.71 eV per formula unit